DFT (PBE-GGA) results for a relaxed PuTc2Ru crystal.

Calculated values
As for the space group: No. 166. For the offset from the most stable computed form, the calculation gives 104 kJ/mol of formula units. As for the calculated formation energy: 1.78 eV/f.u. Its density of states at the Fermi level is 8.23 states/eV/cell.

a b c (Å): 2.797 2.797 9.843
angles (deg): 81.83 81.83 60.00
Each line ends with the local moment (μB).
Fractional coordinates of all 4 atoms:
Pu: 0.000 0.000 0.000  4.50
Ru: 0.500 0.500 0.500  0.03
Tc: 0.907 0.907 0.279  0.02
Tc: 0.093 0.093 0.721  0.02